# Sr3TlAu (GGA-PBE, optimized geometry)
data_Sr3TlAu
_symmetry_space_group_name_H-M 'P 1'
_symmetry_Int_Tables_number 1
_cell_length_a 5.759
_cell_length_b 8.012
_cell_length_c 8.505
_cell_angle_alpha 87.72
_cell_angle_beta 89.99
_cell_angle_gamma 89.98
loop_
_symmetry_equiv_pos_as_xyz
'x,y,z'
loop_
_atom_site_label
_atom_site_fract_x
_atom_site_fract_y
_atom_site_fract_z
Sr1 0.000 0.000 0.000
Sr2 0.000 0.143 0.461
Sr3 0.000 0.497 0.111
Sr4 0.000 0.686 0.641
Sr5 0.500 0.291 0.761
Sr6 0.500 0.801 0.303
Tl1 0.500 0.236 0.208
Tl2 0.500 0.708 0.922
Au1 0.000 0.329 0.788
Au2 0.499 0.923 0.639
# DFT formation energy = -0.391 eV per atom
# space group = No. 1

---

# Sr4TlAu (GGA-PBE, optimized geometry)
data_Sr4TlAu
_symmetry_space_group_name_H-M 'P 1'
_symmetry_Int_Tables_number 1
_cell_length_a 3.985
_cell_length_b 3.985
_cell_length_c 14.634
_cell_angle_alpha 90.00
_cell_angle_beta 90.00
_cell_angle_gamma 90.00
loop_
_symmetry_equiv_pos_as_xyz
'x,y,z'
loop_
_atom_site_label
_atom_site_fract_x
_atom_site_fract_y
_atom_site_fract_z
Sr1 0.000 0.000 0.125
Sr2 0.000 0.000 0.875
Sr3 0.500 0.500 0.358
Sr4 0.500 0.500 0.642
Tl1 0.000 0.000 0.500
Au1 0.500 0.500 0.000
# DFT formation energy = -0.396 eV per atom
# space group = No. 123